MgGe: relaxed, PBE.

As for the mass density: 4.096 g/cm³. The spin magnetization comes out at 0.0 μB/f.u. The calculation puts the calculated formation energy at -0.091 eV/atom. For the total DFT energy (no corrections), the calculation gives -25.58 eV for the cell shown.

a = 11.0078 Å, b = 3.1444 Å, c = 4.7369 Å
α = 90.00°, β = 106.51°, γ = 90.00°
With the nearest neighbours (Å) after each atom.
Space group C2/m (No. 12)
Asymmetric unit:
Mg 0.1354 0.0000 0.2525 [4 per cell]  7 Ge 2.83-3.10, 2 Mg 3.14
Ge 0.1059 0.5000 0.7337 [4 per cell]  1 Ge 2.72, 5 Mg 2.83-2.86